Entry 1:
Computed, not measured: a relaxed BeFeTc2 crystal at the PBE level of DFT.

Cell and atoms, written as POSCAR:
```
BeFeTc2
1.0
2.709 0.000 0.000
0.000 2.709 0.000
0.000 0.000 6.424
Be Fe Tc
1 1 2
Cartesian
0.000 0.000 0.000
1.355 1.355 1.187
0.000 0.000 2.802
1.355 1.355 4.843
```

- energy of formation from the pure elements (eV/f.u.) = -0.14
- total magnetization (μB per cell) = 0.00
- crystal system = tetragonal
- Fermi-level density of states (states/eV/cell) = 4.0
- theoretical density (kg/m3) = 9186

---

Entry 2:
Computed, not measured: a relaxed EuInGe4 crystal at the PBE level of DFT.

Cell and atoms, written as POSCAR:
```
EuInGe4
1.0
0.000 4.040 4.040
4.040 0.000 4.040
4.040 4.040 0.000
Eu In Ge
1 1 4
Cartesian
0.000 0.000 0.000
2.020 2.020 2.020
5.050 3.031 3.031
3.031 5.050 3.031
3.031 3.031 5.050
5.050 5.050 5.050
```

- energy of formation from the pure elements (eV/f.u.) = -1.08
- total magnetization (μB per cell) = 6.90
- crystal system = cubic
- Fermi-level density of states (states/eV/cell) = 9.4
- theoretical density (kg/m3) = 7016

---

Entry 3:
Computed, not measured: a relaxed Hf2Cr3Si crystal at the PBE level of DFT.

Cell and atoms, written as POSCAR:
```
Hf2Cr3Si
1.0
4.980 0.000 0.000
-2.490 4.313 0.000
0.000 0.000 8.270
Hf Cr Si
4 6 2
Cartesian
0.000 2.875 0.530
0.000 2.875 3.605
2.490 1.438 4.665
2.490 1.438 7.740
0.000 1.487 6.202
-1.203 3.570 6.202
1.287 0.743 2.067
1.203 3.570 6.202
3.693 0.743 2.067
2.490 2.826 2.067
0.000 0.000 0.000
0.000 0.000 4.135
```

- raw formation energy (meV per atom) = -359
- total magnetization (μB per cell) = 0.00
- crystal system = hexagonal
- Fermi-level density of states (states/eV/cell) = 10.3
- theoretical density (kg/m3) = 10116

---

Entry 4:
Computed, not measured: a relaxed Na2SrHgCl6 crystal at the PBE level of DFT.

Cell and atoms, written as POSCAR:
```
Na2SrHgCl6
1.0
3.560 2.056 6.365
-3.560 2.056 6.365
0.000 -4.111 6.365
Na Sr Hg Cl
2 1 1 6
Cartesian
0.000 0.000 0.000
0.000 0.000 9.529
0.000 0.000 5.661
0.000 0.000 15.256
-1.199 -1.874 7.627
-2.472 -0.261 10.741
-1.023 1.975 7.627
1.462 -2.011 10.741
2.222 -0.101 7.627
1.010 2.272 10.741
```

- raw formation energy (meV per atom) = -1610
- total magnetization (μB per cell) = 0.00
- crystal system = trigonal
- Fermi-level density of states (states/eV/cell) = 0.0
- theoretical density (kg/m3) = 3250

---

Entry 5:
Computed, not measured: a relaxed Ba2CdO crystal at the PBE level of DFT.

Cell and atoms, written as POSCAR:
```
Ba2CdO
1.0
1.960 1.131 10.245
-1.960 1.131 10.245
0.000 -2.263 10.245
Ba Cd O
2 1 1
Cartesian
0.000 0.000 3.581
0.000 0.000 27.154
0.000 0.000 0.000
0.000 0.000 15.368
```

- raw formation energy (meV per atom) = -1031
- total magnetization (μB per cell) = 0.00
- crystal system = trigonal
- Fermi-level density of states (states/eV/cell) = 2.7
- theoretical density (kg/m3) = 4910
- relative energy among the computed polymorphs (meV per atom) = 260

---

Entry 6:
Computed, not measured: a relaxed CaHg crystal at the PBE level of DFT.

Cell and atoms, written as POSCAR:
```
CaHg
1.0
12.647 0.000 0.000
0.000 5.392 0.000
0.000 0.000 6.473
Ca Hg
8 8
Cartesian
0.640 1.348 1.099
2.247 4.044 2.933
4.077 1.348 6.169
5.684 4.044 4.336
6.963 1.348 2.137
8.570 4.044 0.304
10.400 1.348 3.540
12.007 4.044 5.374
1.020 1.348 4.367
2.415 4.044 6.173
3.909 1.348 2.937
5.304 4.044 1.130
7.343 1.348 5.343
8.738 4.044 3.536
10.232 1.348 0.300
11.627 4.044 2.106
```

- energy of formation from the pure elements (eV/f.u.) = -1.00
- total magnetization (μB per cell) = 0.00
- crystal system = orthorhombic
- Fermi-level density of states (states/eV/cell) = 10.2
- theoretical density (kg/m3) = 7244